A plane-wave DFT calculation with PBE was carried out for a relaxed structure of MnMoIr4.

Results
- Energy relative to the lowest polymorph listed for this composition: 394.8 meV/atom
- Formation energy: 0.2419 eV/atom
- Space group: F-43m (216)

POSCAR file:
```
MnMoIr4
1.0
0.000 3.627 3.627
3.627 0.000 3.627
3.627 3.627 0.000
Mn Mo Ir
1 1 4
Direct
0.000 0.000 0.000
0.750 0.750 0.750
0.375 0.375 0.375
0.375 0.375 0.876
0.375 0.876 0.375
0.876 0.375 0.375
```

A plane-wave DFT calculation with PBE was carried out for a relaxed structure of BaNdIn4.

Results
- Formation energy: -0.3829 eV/atom
- Space group: F-43m (216)

POSCAR file:
```
BaNdIn4
1.0
0.000 4.432 4.432
4.432 0.000 4.432
4.432 4.432 0.000
Ba Nd In
1 1 4
Direct
0.000 0.000 0.000
0.250 0.250 0.250
0.126 0.625 0.625
0.625 0.126 0.625
0.625 0.625 0.126
0.625 0.625 0.625
```

A plane-wave DFT calculation with PBE was carried out for a relaxed structure of MgBiAu.

Results
- Formation energy: -0.2840 eV/atom
- Space group: P4/nmm (129)

POSCAR file:
```
MgBiAu
1.0
4.313 0.000 0.000
0.000 4.313 0.000
0.000 0.000 7.504
Mg Bi Au
2 2 2
Direct
0.250 0.750 0.000
0.750 0.250 0.000
0.250 0.250 0.366
0.750 0.750 0.634
0.250 0.250 0.769
0.750 0.750 0.231
```

A plane-wave DFT calculation with PBE was carried out for a relaxed structure of Ti4In5.

Results
- Energy relative to the lowest polymorph listed for this composition: 0.0 meV/atom
- Formation energy: 0.0328 eV/atom
- Space group: C2/m (12)

POSCAR file:
```
Ti4In5
1.0
5.578 -1.511 0.000
5.578 1.511 0.000
-0.230 0.000 11.653
Ti In
4 5
Direct
0.063 0.063 0.207
0.175 0.175 0.427
0.825 0.825 0.573
0.937 0.937 0.793
0.213 0.213 0.814
0.437 0.437 0.383
0.500 0.500 0.000
0.563 0.563 0.617
0.787 0.787 0.186
```

A plane-wave DFT calculation with PBE was carried out for a relaxed structure of ScSnGe3.

Results
- Energy relative to the lowest polymorph listed for this composition: 0.0 meV/atom
- Formation energy: 0.4165 eV/atom
- Space group: Pm-3m (221)

POSCAR file:
```
ScSnGe3
1.0
5.123 0.000 0.000
0.000 5.123 0.000
0.000 0.000 5.123
Sc Sn Ge
1 1 3
Direct
0.000 0.000 0.000
0.500 0.500 0.500
0.000 0.000 0.500
0.000 0.500 0.000
0.500 0.000 0.000
```

A plane-wave DFT calculation with PBE was carried out for a relaxed structure of Ti3S2I4.

Results
- ΔE_f (raw): -775 meV per atom
- Space group: P-6m2 (187)

POSCAR file:
```
Ti3S2I4
1.0
3.611 0.000 0.000
-1.805 3.127 0.000
0.000 0.000 25.360
Ti S I
3 2 4
Direct
0.000 0.000 0.000
0.333 0.667 0.261
0.333 0.667 0.739
0.333 0.667 0.057
0.333 0.667 0.943
0.000 0.000 0.188
0.000 0.000 0.334
0.000 0.000 0.666
0.000 0.000 0.812
```

These records have total DFT energy (no corrections) values of -8.999; -3.324; -3.202; -4.997; -4.421; -5.012 eV per atom, in the order they appear.